[1]
A plane-wave DFT calculation with PBE was carried out for a geometry-optimized Sc2RuW structure.

a = 4.7310 Å, b = 4.7310 Å, c = 3.1286 Å
α = 90.00°, β = 90.00°, γ = 90.00°
Fractional coordinates of all 4 atoms:
1 Sc 0.0000 0.5000 0.0000
2 Sc 0.5000 0.0000 0.0000
3 Ru 0.0000 0.0000 0.5000
4 W 0.5000 0.5000 0.5000

The calculation puts the spin magnetization at 0.0 μB per formula unit. Its density is 8.888 Mg/m³. The uncorrected energy is -8.64 eV/atom. As for the space group: P4/mmm. The calculated volume is 70 Å³ per cell.


[2]
A plane-wave DFT calculation with PBE was carried out for a geometry-optimized ScRu2W structure.

a = 5.7368 Å, b = 8.3690 Å, c = 2.8267 Å
α = 90.00°, β = 111.47°, γ = 90.00°
Fractional coordinates of all 8 atoms:
1 Sc 0.0000 0.0000 0.0000
2 Sc 0.5000 0.5000 0.0000
3 Ru 0.2500 0.2500 0.5000
4 Ru 0.2500 0.7500 0.5000
5 Ru 0.7500 0.2500 0.5000
6 Ru 0.7500 0.7500 0.5000
7 W 0.0000 0.5000 0.0000
8 W 0.5000 0.0000 0.0000

The calculation puts the spin magnetization at 0.0 μB per formula unit. Its density is 11.332 Mg/m³. The uncorrected energy is -9.48 eV/atom. As for the space group: C2/m. The calculated volume is 126 Å³ per cell.


[3]
A plane-wave DFT calculation with PBE was carried out for a geometry-optimized Sc2RuW structure.

a = 3.1483 Å, b = 4.8007 Å, c = 9.2092 Å
α = 90.00°, β = 90.00°, γ = 90.00°
Fractional coordinates of all 8 atoms:
1 Sc 0.0000 0.0000 0.2306
2 Sc 0.0000 0.0000 0.7694
3 Sc 0.5000 0.5000 0.2694
4 Sc 0.5000 0.5000 0.7306
5 Ru 0.0000 0.5000 0.5000
6 Ru 0.5000 0.0000 0.0000
7 W 0.0000 0.5000 0.0000
8 W 0.5000 0.0000 0.5000

The calculation puts the spin magnetization at 0.0 μB per formula unit. Its density is 8.943 Mg/m³. The uncorrected energy is -8.70 eV/atom. As for the space group: Immm. The calculated volume is 139 Å³ per cell.


Copy entry 2 word for word.
A plane-wave DFT calculation with PBE was carried out for a geometry-optimized ScRu2W structure.

a = 5.7368 Å, b = 8.3690 Å, c = 2.8267 Å
α = 90.00°, β = 111.47°, γ = 90.00°
Fractional coordinates of all 8 atoms:
1 Sc 0.0000 0.0000 0.0000
2 Sc 0.5000 0.5000 0.0000
3 Ru 0.2500 0.2500 0.5000
4 Ru 0.2500 0.7500 0.5000
5 Ru 0.7500 0.2500 0.5000
6 Ru 0.7500 0.7500 0.5000
7 W 0.0000 0.5000 0.0000
8 W 0.5000 0.0000 0.0000

The calculation puts the spin magnetization at 0.0 μB per formula unit. Its density is 11.332 Mg/m³. The uncorrected energy is -9.48 eV/atom. As for the space group: C2/m. The calculated volume is 126 Å³ per cell.